# 1
Below is a relaxed structure of PmDy5Ga6, with properties calculated at the PBE level.

Cell lengths 5.0682, 7.1660, 8.0139 Å; angles 90.00, 108.32, 90.00 degrees
Closest atoms and distances in Å follow each position.
Space group P2/m (No. 10)
Unique sites:
Pm 0.0000 0.0000 0.0000 (multiplicity 1)  8 Ga 3.12-3.15
Dy 0.0000 0.5000 0.0000 (multiplicity 1)  8 Ga 3.09-3.12
Dy 0.3327 0.0000 0.6654 (multiplicity 2)  8 Ga 3.08-3.13
Dy 0.3353 0.5000 0.6706 (multiplicity 2)  8 Ga 3.07-3.09
Ga 0.1690 0.2538 0.3379 (multiplicity 4)  7 Dy 3.08-3.12, 1 Pm 3.15
Ga 0.5000 0.2532 0.0000 (multiplicity 2)  6 Dy 3.07-3.13, 2 Pm 3.12

Results
As for the formation energy: -0.581 eV per atom. As for the crystal system: monoclinic.

=====

# 2
Below is a relaxed structure of Pu2In2Pd, with properties calculated at the PBE level.

Cell lengths 4.1127, 4.1127, 26.8216 Å; angles 90.00, 90.00, 90.00 degrees
Closest atoms and distances in Å follow each position.
Space group I4_1/amd (No. 141, origin choice 2)
Unique sites:
Pu 0.0000 0.2500 0.0226 (multiplicity 8)  2 Pu 2.39
In 0.0000 0.2500 0.1853 (multiplicity 8)  2 Pd 2.62
Pd 0.0000 0.2500 0.3750 (multiplicity 4)  4 In 2.62

Results
As for the formation energy: 0.200 eV per atom. As for the crystal system: tetragonal.

=====

# 3
Below is a relaxed structure of BaSrLa2, with properties calculated at the PBE level.

Cell lengths 9.0200, 9.0200, 9.0200 Å; angles 90.00, 90.00, 90.00 degrees
Closest atoms and distances in Å follow each position.
Space group Fm-3m (No. 225)
Unique sites:
Ba 0.0000 0.0000 0.0000 (multiplicity 4)  8 La 3.91
Sr 0.0000 0.0000 0.5000 (multiplicity 4)  8 La 3.91
La 0.2500 0.2500 0.2500 (multiplicity 8)  4 Ba 3.91, 4 Sr 3.91

Results
The value obtained for the energy relative to the lowest polymorph listed for this composition is 0.69 eV/f.u. As for the formation energy: 0.250 eV per atom. As for the crystal system: cubic.

=====

# 4
Below is a relaxed structure of ErLuH, with properties calculated at the PBE level.

Cell lengths 3.2937, 3.2937, 11.8649 Å; angles 90.00, 90.00, 90.00 degrees
Closest atoms and distances in Å follow each position.
Space group I4mm (No. 107)
Unique sites:
Er 0.0000 0.0000 0.0000 (multiplicity 2)  4 H 2.35
Lu 0.0000 0.0000 0.2924 (multiplicity 2)  1 H 2.17
H 0.0000 0.0000 0.4757 (multiplicity 2)  1 Lu 2.17, 4 Er 2.35

Results
The value obtained for the energy relative to the lowest polymorph listed for this composition is 0.44 eV/f.u. As for the crystal system: tetragonal.

=====

# 5
Below is a relaxed structure of CePuTc, with properties calculated at the PBE level.

Cell lengths 3.1054, 5.3285, 7.5436 Å; angles 102.67, 99.32, 96.20 degrees
Closest atoms and distances in Å follow each position.
Space group P-1 (No. 2)
Unique sites:
Ce 0.1297 0.2742 0.1181 (multiplicity 2)  1 Pu 2.67
Pu 0.4392 0.7114 0.5423 (multiplicity 2)  1 Pu 2.29, 1 Tc 2.52
Tc 0.3286 0.1636 0.7350 (multiplicity 2)  2 Pu 2.52-2.62

Results
The value obtained for the energy relative to the lowest polymorph listed for this composition is 0.41 eV/f.u. As for the formation energy: 0.101 eV per atom. As for the crystal system: triclinic.

=====

# 6
Below is a relaxed structure of KCuBr5, with properties calculated at the PBE level.

Cell lengths 12.9984, 11.3561, 10.3039 Å; angles 90.00, 122.38, 90.00 degrees
Closest atoms and distances in Å follow each position.
Space group C2/c (No. 15)
Unique sites:
K 0.0000 0.2326 0.2500 (multiplicity 4)  5 Br 3.17-3.29
Cu 0.0000 0.5000 0.0000 (multiplicity 4)  4 Br 2.33-2.58
Br 0.0000 0.4873 0.7500 (multiplicity 4)  2 Cu 2.58
Br 0.0383 0.0997 0.0090 (multiplicity 8)  1 Br 2.44
Br 0.1430 0.3482 0.0970 (multiplicity 8)  1 Cu 2.33

Results
The calculation puts the formation energy (no corrections) at -545 meV/atom. As for the crystal system: monoclinic.

=====

# 7
Below is a relaxed structure of Y2MnCl, with properties calculated at the PBE level.

Cell lengths 10.9390, 3.3905, 4.9613 Å; angles 90.00, 90.14, 90.00 degrees
Closest atoms and distances in Å follow each position.
Space group Cm (No. 8)
Unique sites:
Y 0.0000 0.0000 0.0000 (multiplicity 2)  1 Cl 2.81, 4 Mn 3.02
Y 0.2342 0.5000 0.5009 (multiplicity 2)  3 Mn 2.86-3.11, 4 Cl 3.01-3.02
Mn 0.4730 0.0000 0.5000 (multiplicity 2)  7 Y 2.86-3.11
Cl 0.2569 0.0000 0.0015 (multiplicity 2)  5 Y 2.81-3.02

Results
The value obtained for the energy relative to the lowest polymorph listed for this composition is 0.42 eV/f.u. The calculation puts the formation energy (no corrections) at -371 meV/atom. As for the crystal system: monoclinic.

=====

# 8
Below is a relaxed structure of CsCd6Pb2, with properties calculated at the PBE level.

Cell lengths 5.2174, 5.2174, 10.0965 Å; angles 90.00, 90.00, 90.00 degrees
Closest atoms and distances in Å follow each position.
Space group P4/mmm (No. 123)
Unique sites:
Cs 0.0000 0.0000 0.0000 (multiplicity 1)  8 Pb 4.08, 8 Cd 4.25
Cd 0.0000 0.0000 0.5000 (multiplicity 1)  8 Cd 3.11
Cd 0.0000 0.5000 0.3329 (multiplicity 4)  2 Pb 3.07, 5 Cd 3.11-3.37
Cd 0.5000 0.5000 0.5000 (multiplicity 1)  8 Cd 3.11, 2 Pb 3.30
Pb 0.5000 0.5000 0.1727 (multiplicity 2)  5 Cd 3.07-3.30

Results
As for the formation energy: -0.032 eV per atom. As for the crystal system: tetragonal.

=====

Result set for total magnetization: 0.00 0.10 0.00 0.00 0.00 0.00 0.73 0.00 μB per atom, one per record in the order listed.